Compound: ThInS4
Source: Alexandria
Functional: PBE
Structure: relaxed

Cell lengths 6.8300, 6.9392, 6.1846 Å; angles 90.00, 95.96, 90.00 degrees
Closest atoms and distances in Å follow each position.
Space group P2_1/c (No. 14)
One atom of each set of equivalent atoms:
Th1 0.0000 0.0000 0.0000  6 S 2.74-3.02
In1 0.5000 0.0000 0.5000  6 S 2.51-2.75
S1 0.1998 0.1885 0.3611  1 In 2.51, 1 Th 2.74
S2 0.2887 0.7230 0.2596  2 In 2.75, 1 Th 3.02

Properties
Magnetization = 0.000 μB/atom
E_form (uncorrected) = -0.965 eV per atom
Final energy = -0.3976 Ry per atom

---

Compound: ThIn2S6
Source: Alexandria
Functional: PBE
Structure: relaxed

Cell lengths 12.2406, 12.8267, 7.4338 Å; angles 90.00, 102.77, 90.00 degrees
Closest atoms and distances in Å follow each position.
Space group C2/c (No. 15)
One atom of each set of equivalent atoms:
Th1 0.0000 0.1058 0.2500  6 S 2.70-2.84
In1 0.1773 0.4116 0.3055  4 S 2.38-2.67
S1 0.0656 0.4515 0.5678  1 S 2.10
S2 0.1272 0.0385 0.5895  1 In 2.43
S3 0.1579 0.2386 0.1861  1 In 2.38

Properties
Magnetization = 0.000 μB/atom
E_form (uncorrected) = -0.791 eV per atom
Final energy = -0.3657 Ry per atom